Material: MnHgOs2
Method: DFT, PBE
State: relaxed

Structure (extended XYZ):
```
4
Lattice="-2.6758 0.5116 0.3861 0.6970 -2.4677 -0.9976 0.6244 -3.3880 8.8168" Properties=species:S:1:pos:R:3 pbc="T T T"
Hg -0.8333 -1.8250 1.8984
Os 0.6046 -3.2809 8.5383
Os 0.3319 -1.8010 4.6869
Mn -0.5211 -3.5190 6.3069
```

## Properties
N(E_F) = 4.11 states/eV/cell
Formation enthalpy at 0 K = 2.46 eV/f.u.